Entry 1:
VASP calculation (PBE) on MgScAg2 after structural relaxation.

abc: 3.1314 3.1314 28.3340
angles: 90.00 90.00 120.00
Fractional positions:
Mg1 0.0000 0.0000 0.0000
Mg2 0.3333 0.6667 0.6667
Mg3 0.6667 0.3333 0.3333
Sc1 0.0000 0.0000 0.5000
Sc2 0.3333 0.6667 0.1667
Sc3 0.6667 0.3333 0.8333
Ag1 0.0000 0.0000 0.2511
Ag2 0.0000 0.0000 0.7489
Ag3 0.3333 0.6667 0.4156
Ag4 0.3333 0.6667 0.9177
Ag5 0.6667 0.3333 0.0823
Ag6 0.6667 0.3333 0.5844

Computed properties:
SG = R-3m
E_tot = -41.81 eV for the cell shown
Volume = 240.6 Å³/cell

=====

Entry 2:
VASP calculation (PBE) on MgSc4Ag after structural relaxation.

abc: 8.2757 4.7310 8.5093
angles: 90.00 108.83 90.00
Fractional positions:
Mg1 0.0000 0.0000 0.0000
Mg2 0.5000 0.5000 0.0000
Sc1 0.1188 0.5000 0.8516
Sc2 0.1292 0.0000 0.3872
Sc3 0.3708 0.5000 0.6128
Sc4 0.3812 0.0000 0.1484
Sc5 0.6188 0.0000 0.8516
Sc6 0.6292 0.5000 0.3872
Sc7 0.8708 0.0000 0.6128
Sc8 0.8812 0.5000 0.1484
Ag1 0.0000 0.5000 0.5000
Ag2 0.5000 0.0000 0.5000

Computed properties:
SG = C2/m
E_tot = -55.75 eV for the cell shown
Energy above the lowest structure with this stoichiometry = 234 kJ/mol of formula units
Volume = 315.3 Å³/cell

=====

Entry 3:
VASP calculation (PBE) on Mg2ScAg4 after structural relaxation.

abc: 4.8421 4.8421 12.4317
angles: 90.00 90.00 90.00
Fractional positions:
Mg1 0.0000 0.0000 0.2392
Mg2 0.0000 0.0000 0.7608
Mg3 0.5000 0.5000 0.2608
Mg4 0.5000 0.5000 0.7392
Sc1 0.0000 0.0000 0.5000
Sc2 0.5000 0.5000 0.0000
Ag1 0.0000 0.5000 0.1235
Ag2 0.0000 0.5000 0.3765
Ag3 0.0000 0.5000 0.6235
Ag4 0.0000 0.5000 0.8765
Ag5 0.5000 0.0000 0.1235
Ag6 0.5000 0.0000 0.3765
Ag7 0.5000 0.0000 0.6235
Ag8 0.5000 0.0000 0.8765

Computed properties:
SG = I4/mmm
E_tot = -42.43 eV for the cell shown
Volume = 291.5 Å³/cell

=====

Entry 4:
VASP calculation (PBE) on MgSc4Ag2 after structural relaxation.

abc: 9.1733 9.1733 9.1733
angles: 30.10 30.10 30.10
Fractional positions:
Mg1 0.0000 0.0000 0.0000
Sc1 0.2057 0.2057 0.2057
Sc2 0.3871 0.3871 0.3871
Sc3 0.6129 0.6129 0.6129
Sc4 0.7943 0.7943 0.7943
Ag1 0.0995 0.0995 0.0995
Ag2 0.9005 0.9005 0.9005

Computed properties:
SG = R-3m
E_tot = -31.62 eV for the cell shown
Volume = 172.0 Å³/cell

=====

Which value of E_tot does entry 3 give?
-42.43 eV for the cell shown